(1)
Compound: Li4IrRh
Source: the Alexandria database
Functional: PBE
Structure: relaxed

Summary:
The magnetization comes out at 0.00 μB per formula unit. As for the space-group type: Cmcm, No. 63. The distance to the lowest polymorph of the same formula comes out at 0 meV/atom.

a b c (Å): 4.3415 4.9366 7.9081
angles (deg): 71.81 90.00 90.00
Fractional positions:
Li: 0.7496 0.7944 0.9167
Li: 0.7504 0.2889 0.9167
Li: 0.2504 0.2056 0.0833
Li: 0.2500 0.5424 0.4165
Li: 0.7500 0.9589 0.5835
Li: 0.2496 0.7111 0.0833
Li: 0.7500 0.4576 0.5835
Li: 0.2500 0.0411 0.4165
Rh: 0.7500 0.3751 0.2498
Rh: 0.2500 0.6249 0.7502
Ir: 0.2500 0.1252 0.7496
Ir: 0.7500 0.8748 0.2504

(2)
Compound: LiIr2Rh
Source: the Alexandria database
Functional: PBE
Structure: relaxed

Summary:
The magnetization comes out at 0.00 μB per formula unit. As for the space-group type: Cm, No. 8. Its electronic total energy is -6.84 eV per atom.

a b c (Å): 4.6876 4.6876 4.6436
angles (deg): 81.24 81.24 33.57
Fractional positions:
Li: 0.5015 0.5015 0.4806
Ir: 0.9983 0.9983 0.9747
Ir: 0.7414 0.7414 0.7730
Rh: 0.2588 0.2588 0.2717

(3)
Compound: Li3IrRh
Source: the Alexandria database
Functional: PBE
Structure: relaxed

Summary:
The magnetization comes out at 0.09 μB per formula unit. As for the space-group type: R3m, No. 160. The distance to the lowest polymorph of the same formula comes out at 122 meV/atom.

a b c (Å): 4.5443 4.5443 4.9632
angles (deg): 62.75 62.75 60.00
Each line ends with the local moment (μB).
Fractional positions:
Li: 0.3047 0.8048 0.0858  0.00
Li: 0.8048 0.8048 0.0858  0.00
Li: 0.8048 0.3047 0.0858  0.00
Ir: 0.8067 0.8067 0.5800  0.04
Rh: 0.1541 0.1541 0.5377  0.05

(4)
Compound: Li6IrRh
Source: the Alexandria database
Functional: PBE
Structure: relaxed

Summary:
The magnetization comes out at 0.00 μB per formula unit. As for the space-group type: R-3m, No. 166. The distance to the lowest polymorph of the same formula comes out at 322 meV/atom.

a b c (Å): 6.7278 6.7278 4.9371
angles (deg): 47.05 47.05 60.00
Fractional positions:
Rh: 0.0000 0.0000 0.0000
Li: 0.8445 0.8445 0.8415
Li: 0.8445 0.4695 0.8415
Li: 0.1555 0.1555 0.1585
Li: 0.4695 0.8445 0.8415
Li: 0.5305 0.1555 0.1585
Li: 0.1555 0.5305 0.1585
Ir: 0.5000 0.5000 0.5000

(5)
Compound: LiIr4Rh2
Source: the Alexandria database
Functional: PBE
Structure: relaxed

Summary:
The magnetization comes out at 0.00 μB per formula unit. As for the space-group type: I4/mmm, No. 139. Its electronic total energy is -7.30 eV per atom.

a b c (Å): 5.2795 5.2795 6.5735
angles (deg): 128.56 128.56 56.50
Fractional positions:
Ir: 0.3013 0.3013 0.0002
Ir: 0.6990 0.6990 0.3976
Ir: 0.6987 0.6987 0.9998
Ir: 0.3010 0.3010 0.6024
Li: 0.0000 0.0000 0.0000
Rh: 0.2500 0.7500 0.5000
Rh: 0.7501 0.2499 0.5000

(6)
Compound: LiIr2Rh3
Source: the Alexandria database
Functional: PBE
Structure: relaxed

Summary:
The magnetization comes out at 0.00 μB per formula unit. As for the space-group type: P-1, No. 2. Its electronic total energy is -7.01 eV per atom.

a b c (Å): 9.0049 6.0762 5.3828
angles (deg): 77.09 80.85 35.76
Fractional positions:
Li: 0.1549 0.1805 0.4200
Li: 0.8451 0.8195 0.5800
Rh: 0.4981 0.5044 0.2533
Rh: 0.9993 0.0056 0.7468
Rh: 0.5019 0.4956 0.7467
Rh: 0.1656 0.1699 0.9192
Rh: 0.0007 0.9944 0.2532
Rh: 0.8344 0.8301 0.0808
Ir: 0.3491 0.3201 0.5839
Ir: 0.6693 0.6683 0.9139
Ir: 0.6509 0.6799 0.4161
Ir: 0.3307 0.3317 0.0861

(7)
Compound: LiIr6Rh8
Source: the Alexandria database
Functional: PBE
Structure: relaxed

Summary:
The magnetization comes out at 0.00 μB per formula unit. As for the space-group type: P-3, No. 147. Its electronic total energy is -7.35 eV per atom.

a b c (Å): 2.7100 9.8811 9.8811
angles (deg): 120.00 90.00 90.00
Fractional positions:
Ir: 0.2503 0.6237 0.0887
Ir: 0.7497 0.0887 0.4650
Ir: 0.2503 0.4650 0.3763
Ir: 0.7497 0.3763 0.9113
Ir: 0.7497 0.5350 0.6237
Ir: 0.2503 0.9113 0.5350
Li: 0.5000 0.0000 0.0000
Rh: 0.2454 0.7987 0.7224
Rh: 0.2454 0.2776 0.0763
Rh: 0.7501 0.6667 0.3333
Rh: 0.7546 0.2013 0.2776
Rh: 0.7546 0.7224 0.9237
Rh: 0.2499 0.3333 0.6667
Rh: 0.7546 0.0763 0.7987
Rh: 0.2454 0.9237 0.2013

(8)
Compound: LiIr3Rh
Source: the Alexandria database
Functional: PBE
Structure: relaxed

Summary:
The magnetization comes out at 0.00 μB per formula unit. As for the space-group type: Pm-3m, No. 221. The distance to the lowest polymorph of the same formula comes out at 0 meV/atom.

a b c (Å): 4.1017 4.1017 4.1017
angles (deg): 90.00 90.00 90.00
Fractional positions:
Li: 0.0000 0.0000 0.0000
Rh: 0.5000 0.5000 0.5000
Ir: 0.5000 0.0000 0.0000
Ir: 0.0000 0.5000 0.0000
Ir: 0.0000 0.0000 0.5000